# 1
Ca2IrOs: optimized geometry, PBE.

**Volume**: 84 Å³/f.u.
**DOS(E_F)**: 4.32 states/eV/f.u.
**Calculated density**: 9.2 Mg/m³
**Uncorrected energy**: -5.38 eV per atom
**Formation energy**: 0.64 eV/atom
**Excess energy over the best structure of this formula in the dataset**: 0.645 eV per atom

POSCAR file:
```
Ca2IrOs
1.0
7.953 0.000 0.000
0.000 7.953 0.000
3.977 3.977 2.648
Ca Ir Os
4 2 2
Direct
0.641 0.125 0.250
0.109 0.625 0.250
0.375 0.359 0.750
0.875 0.891 0.750
0.000 0.000 0.000
0.750 0.250 0.500
0.500 0.500 0.000
0.250 0.750 0.500
```


# 2
Cu2NiOs: optimized geometry, PBE.

**Volume**: 50 Å³/f.u.
**DOS(E_F)**: 3.58 states/eV/f.u.
**Calculated density**: 12.6 Mg/m³
**Uncorrected energy**: -5.91 eV per atom
**Formation energy**: 0.39 eV/atom
**Excess energy over the best structure of this formula in the dataset**: 0.243 eV per atom

POSCAR file:
```
Cu2NiOs
1.0
-2.218 -3.611 1.637
2.545 -3.748 -0.335
0.818 4.137 1.689
Cu Ni Os
2 1 1
Direct
0.000 0.000 0.000
0.500 0.500 0.000
0.250 0.750 0.500
0.750 0.250 0.500
```


# 3
CaSbPb2: optimized geometry, PBE.

**Volume**: 122 Å³/f.u.
**Formation energy (no corrections)**: -329 meV/atom
**DOS(E_F)**: 1.50 states/eV/f.u.
**Calculated density**: 7.9 Mg/m³
**Uncorrected energy**: -3.71 eV per atom

POSCAR file:
```
CaSbPb2
1.0
-1.600 3.018 -2.569
-2.339 -2.955 -2.015
-4.987 1.015 4.299
Pb Sb Ca
2 1 1
Direct
0.000 0.000 0.004
0.500 0.500 0.248
0.000 0.000 0.519
0.500 0.500 0.729
```


# 4
Sc3C: optimized geometry, PBE.

**Volume**: 67 Å³/f.u.
**DOS(E_F)**: 4.82 states/eV/f.u.
**Calculated density**: 3.6 Mg/m³
**Uncorrected energy**: -6.38 eV per atom
**Formation energy**: 0.67 eV/atom
**Excess energy over the best structure of this formula in the dataset**: 0.939 eV per atom

POSCAR file:
```
Sc3C
1.0
-4.481 0.707 2.369
2.188 -1.149 4.482
1.151 4.937 0.704
Sc C
6 2
Direct
0.750 0.500 0.000
0.250 0.500 0.000
0.000 0.750 0.500
0.000 0.250 0.500
0.500 0.000 0.250
0.500 0.000 0.750
0.000 0.000 0.000
0.500 0.500 0.500
```


# 5
CeDy8Ho4: optimized geometry, PBE.

**Volume**: 406 Å³/f.u.
**DOS(E_F)**: 19.73 states/eV/f.u.
**Calculated density**: 8.6 Mg/m³
**Uncorrected energy**: -4.53 eV per atom
**Formation energy**: 0.17 eV/atom

POSCAR file:
```
CeDy8Ho4
1.0
-0.380 -7.033 1.742
6.118 2.719 -2.798
1.132 5.655 7.971
Ce Dy Ho
1 8 4
Direct
0.000 0.500 0.500
0.559 0.779 0.338
0.441 0.221 0.662
0.510 0.255 0.311
0.944 0.199 0.689
0.490 0.745 0.689
0.944 0.745 0.689
0.056 0.255 0.311
0.056 0.801 0.311
0.000 0.000 0.000
0.000 0.500 0.000
0.500 0.500 0.000
0.500 0.000 0.000
```


# 6
La6NdEr3: optimized geometry, PBE.

**Volume**: 355 Å³/f.u.
**DOS(E_F)**: 12.57 states/eV/f.u.
**Calculated density**: 6.9 Mg/m³
**Uncorrected energy**: -4.61 eV per atom
**Formation energy**: 0.19 eV/atom

POSCAR file:
```
La6NdEr3
1.0
-1.039 3.838 4.910
-8.481 2.364 -3.643
-4.985 -8.983 5.777
La Nd Er
12 2 6
Direct
0.491 0.843 0.921
0.491 0.849 0.578
0.362 0.464 0.250
0.638 0.536 0.750
0.509 0.151 0.422
0.509 0.157 0.079
0.991 0.657 0.421
0.991 0.651 0.078
0.862 0.036 0.750
0.138 0.964 0.250
0.009 0.349 0.922
0.009 0.343 0.579
0.500 0.500 0.500
0.000 0.000 0.000
0.382 0.180 0.753
0.500 0.500 0.000
0.618 0.820 0.247
0.882 0.320 0.253
0.000 0.000 0.500
0.118 0.680 0.747
```


Question: Which value of calculated density does entry 1 give?
Answer: 9.2 Mg/m³


Question: Which of these has the highest uncorrected energy?
Answer: CaSbPb2